## MnCd4Ru (GGA-PBE)

Data for a relaxed MnCd4Ru crystal.

Unit cell a=5.4772 b=5.4772 c=5.4772 alpha=60.00 beta=60.00 gamma=60.00
Positions (direct):
Mn1 0.0000 0.0000 0.0000
Cd1 0.3753 0.3753 0.3753
Cd2 0.3753 0.3753 0.8741
Cd3 0.3753 0.8741 0.3753
Cd4 0.8741 0.3753 0.3753
Ru1 0.7500 0.7500 0.7500

Values from the calculation:
DFT formation energy   0.52 eV per atom
VASP energy   -3.165 eV per atom
Symmetry   F-43m, No. 216